1.
Below is a relaxed structure of Tl8HgBi5, with properties calculated at the PBE level.

Lattice parameters (Å, degrees): 8.486 8.486 8.486 111.24 111.24 105.99
Fractional coordinates of all 14 atoms:
Tl  0.095  0.686  0.789
Tl  0.174  0.284  0.764
Tl  0.314  0.103  0.409
Tl  0.520  0.410  0.236
Tl  0.590  0.826  0.110
Tl  0.694  0.905  0.591
Tl  0.716  0.480  0.890
Tl  0.897  0.306  0.211
Hg  0.000  0.000  0.000
Bi  0.211  0.625  0.198
Bi  0.375  0.573  0.586
Bi  0.427  0.013  0.802
Bi  0.750  0.250  0.500
Bi  0.987  0.789  0.414

Properties
**Formation energy**: 43 meV/atom
**Spin magnetization**: 0.0 μB/cell

---

2.
Below is a relaxed structure of Tl3Hg12Bi5, with properties calculated at the PBE level.

Lattice parameters (Å, degrees): 15.309 15.309 15.309 109.47 109.47 109.47
Fractional coordinates of all 80 atoms:
Tl  0.125  0.250  0.375
Tl  0.125  0.375  0.750
Tl  0.250  0.375  0.125
Tl  0.250  0.875  0.625
Tl  0.375  0.125  0.250
Tl  0.375  0.750  0.125
Tl  0.625  0.250  0.875
Tl  0.625  0.875  0.750
Tl  0.750  0.125  0.375
Tl  0.750  0.625  0.875
Tl  0.875  0.625  0.250
Tl  0.875  0.750  0.625
Hg  0.060  0.233  0.129
Hg  0.060  0.327  0.931
Hg  0.069  0.629  0.396
Hg  0.069  0.940  0.673
Hg  0.104  0.733  0.673
Hg  0.104  0.871  0.431
Hg  0.129  0.060  0.233
Hg  0.129  0.569  0.896
Hg  0.173  0.233  0.604
Hg  0.173  0.440  0.569
Hg  0.233  0.129  0.060
Hg  0.233  0.604  0.173
Hg  0.267  0.327  0.896
Hg  0.267  0.440  0.371
Hg  0.327  0.896  0.267
Hg  0.327  0.931  0.060
Hg  0.371  0.267  0.440
Hg  0.371  0.604  0.931
Hg  0.396  0.069  0.629
Hg  0.396  0.827  0.767
Hg  0.431  0.104  0.871
Hg  0.431  0.827  0.560
Hg  0.440  0.371  0.267
Hg  0.440  0.569  0.173
Hg  0.560  0.431  0.827
Hg  0.560  0.629  0.733
Hg  0.569  0.173  0.440
Hg  0.569  0.896  0.129
Hg  0.604  0.173  0.233
Hg  0.604  0.931  0.371
Hg  0.629  0.396  0.069
Hg  0.629  0.733  0.560
Hg  0.673  0.069  0.940
Hg  0.673  0.104  0.733
Hg  0.733  0.560  0.629
Hg  0.733  0.673  0.104
Hg  0.767  0.396  0.827
Hg  0.767  0.871  0.940
Hg  0.827  0.560  0.431
Hg  0.827  0.767  0.396
Hg  0.871  0.431  0.104
Hg  0.871  0.940  0.767
Hg  0.896  0.129  0.569
Hg  0.896  0.267  0.327
Hg  0.931  0.060  0.327
Hg  0.931  0.371  0.604
Hg  0.940  0.673  0.069
Hg  0.940  0.767  0.871
Bi  0.000  0.000  0.000
Bi  0.000  0.000  0.500
Bi  0.000  0.500  0.000
Bi  0.000  0.500  0.500
Bi  0.125  0.750  0.875
Bi  0.125  0.875  0.250
Bi  0.250  0.125  0.875
Bi  0.250  0.625  0.375
Bi  0.375  0.250  0.625
Bi  0.375  0.625  0.750
Bi  0.500  0.000  0.000
Bi  0.500  0.000  0.500
Bi  0.500  0.500  0.000
Bi  0.500  0.500  0.500
Bi  0.625  0.375  0.250
Bi  0.625  0.750  0.375
Bi  0.750  0.375  0.625
Bi  0.750  0.875  0.125
Bi  0.875  0.125  0.750
Bi  0.875  0.250  0.125

Properties
**Formation energy**: 151 meV/atom
**Spin magnetization**: 0.0 μB/cell

---

3.
Below is a relaxed structure of Tl2Hg4Bi, with properties calculated at the PBE level.

Lattice parameters (Å, degrees): 11.170 11.842 3.291 90.00 90.00 90.00
Fractional coordinates of all 14 atoms:
Tl  0.250  0.250  0.000
Tl  0.250  0.750  0.000
Tl  0.750  0.250  0.000
Tl  0.750  0.750  0.000
Hg  0.000  0.135  0.000
Hg  0.000  0.865  0.000
Hg  0.225  0.000  0.500
Hg  0.275  0.500  0.500
Hg  0.500  0.365  0.000
Hg  0.500  0.635  0.000
Hg  0.725  0.500  0.500
Hg  0.775  0.000  0.500
Bi  0.000  0.500  0.500
Bi  0.500  0.000  0.500

Properties
**Formation energy**: 82 meV/atom
**Energy relative to the lowest polymorph listed for this composition**: 0.47 eV/f.u.
**Spin magnetization**: 0.0 μB/cell

---

4.
Below is a relaxed structure of Tl8HgBi3, with properties calculated at the PBE level.

Lattice parameters (Å, degrees): 9.374 9.301 7.636 66.37 65.36 48.27
Fractional coordinates of all 12 atoms:
Tl  0.121  0.631  0.879
Tl  0.126  0.634  0.366
Tl  0.366  0.874  0.126
Tl  0.369  0.879  0.631
Tl  0.631  0.121  0.369
Tl  0.634  0.126  0.874
Tl  0.874  0.366  0.634
Tl  0.879  0.369  0.121
Hg  0.000  0.000  0.000
Bi  0.250  0.250  0.250
Bi  0.500  0.500  0.500
Bi  0.750  0.750  0.750

Properties
**Formation energy**: 29 meV/atom
**Spin magnetization**: 0.0 μB/cell

---

5.
Below is a relaxed structure of Tl5HgBi4, with properties calculated at the PBE level.

Lattice parameters (Å, degrees): 3.489 3.489 25.820 90.00 90.00 90.00
Fractional coordinates of all 10 atoms:
Tl  0.000  0.000  0.000
Tl  0.000  0.000  0.201
Tl  0.000  0.000  0.401
Tl  0.000  0.000  0.599
Tl  0.000  0.000  0.799
Hg  0.500  0.500  0.500
Bi  0.500  0.500  0.100
Bi  0.500  0.500  0.302
Bi  0.500  0.500  0.698
Bi  0.500  0.500  0.900

Properties
**Formation energy**: -16 meV/atom
**Spin magnetization**: 0.0 μB/cell

---

6.
Below is a relaxed structure of Tl12Hg5Bi3, with properties calculated at the PBE level.

Lattice parameters (Å, degrees): 15.963 15.963 15.963 109.47 109.47 109.47
Fractional coordinates of all 80 atoms:
Tl  0.059  0.224  0.138
Tl  0.059  0.335  0.921
Tl  0.079  0.638  0.414
Tl  0.079  0.941  0.665
Tl  0.086  0.724  0.665
Tl  0.086  0.862  0.421
Tl  0.138  0.059  0.224
Tl  0.138  0.579  0.914
Tl  0.165  0.224  0.586
Tl  0.165  0.441  0.579
Tl  0.224  0.138  0.059
Tl  0.224  0.586  0.165
Tl  0.276  0.335  0.914
Tl  0.276  0.441  0.362
Tl  0.335  0.914  0.276
Tl  0.335  0.921  0.059
Tl  0.362  0.276  0.441
Tl  0.362  0.586  0.921
Tl  0.414  0.079  0.638
Tl  0.414  0.835  0.776
Tl  0.421  0.086  0.862
Tl  0.421  0.835  0.559
Tl  0.441  0.362  0.276
Tl  0.441  0.579  0.165
Tl  0.559  0.421  0.835
Tl  0.559  0.638  0.724
Tl  0.579  0.165  0.441
Tl  0.579  0.914  0.138
Tl  0.586  0.165  0.224
Tl  0.586  0.921  0.362
Tl  0.638  0.414  0.079
Tl  0.638  0.724  0.559
Tl  0.665  0.079  0.941
Tl  0.665  0.086  0.724
Tl  0.724  0.559  0.638
Tl  0.724  0.665  0.086
Tl  0.776  0.414  0.835
Tl  0.776  0.862  0.941
Tl  0.835  0.559  0.421
Tl  0.835  0.776  0.414
Tl  0.862  0.421  0.086
Tl  0.862  0.941  0.776
Tl  0.914  0.138  0.579
Tl  0.914  0.276  0.335
Tl  0.921  0.059  0.335
Tl  0.921  0.362  0.586
Tl  0.941  0.665  0.079
Tl  0.941  0.776  0.862
Hg  0.000  0.000  0.000
Hg  0.000  0.000  0.500
Hg  0.000  0.500  0.000
Hg  0.000  0.500  0.500
Hg  0.125  0.750  0.875
Hg  0.125  0.875  0.250
Hg  0.250  0.125  0.875
Hg  0.250  0.625  0.375
Hg  0.375  0.250  0.625
Hg  0.375  0.625  0.750
Hg  0.500  0.000  0.000
Hg  0.500  0.000  0.500
Hg  0.500  0.500  0.000
Hg  0.500  0.500  0.500
Hg  0.625  0.375  0.250
Hg  0.625  0.750  0.375
Hg  0.750  0.375  0.625
Hg  0.750  0.875  0.125
Hg  0.875  0.125  0.750
Hg  0.875  0.250  0.125
Bi  0.125  0.250  0.375
Bi  0.125  0.375  0.750
Bi  0.250  0.375  0.125
Bi  0.250  0.875  0.625
Bi  0.375  0.125  0.250
Bi  0.375  0.750  0.125
Bi  0.625  0.250  0.875
Bi  0.625  0.875  0.750
Bi  0.750  0.125  0.375
Bi  0.750  0.625  0.875
Bi  0.875  0.625  0.250
Bi  0.875  0.750  0.625

Properties
**Formation energy**: 72 meV/atom
**Spin magnetization**: 0.0 μB/cell

---

7.
Below is a relaxed structure of TlHg2Bi4, with properties calculated at the PBE level.

Lattice parameters (Å, degrees): 4.392 26.994 3.826 90.00 90.00 90.00
Fractional coordinates of all 14 atoms:
Tl  0.000  0.000  0.000
Tl  0.500  0.500  0.000
Hg  0.000  0.439  0.500
Hg  0.000  0.561  0.500
Hg  0.500  0.061  0.500
Hg  0.500  0.939  0.500
Bi  0.000  0.145  0.500
Bi  0.000  0.298  0.000
Bi  0.000  0.702  0.000
Bi  0.000  0.855  0.500
Bi  0.500  0.202  0.000
Bi  0.500  0.355  0.500
Bi  0.500  0.645  0.500
Bi  0.500  0.798  0.000

Properties
**Formation energy**: 84 meV/atom
**Spin magnetization**: 0.0 μB/cell

---

8.
Below is a relaxed structure of Tl4HgBi, with properties calculated at the PBE level.

Lattice parameters (Å, degrees): 8.657 8.657 5.997 101.70 101.70 112.33
Fractional coordinates of all 12 atoms:
Tl  0.055  0.669  0.864
Tl  0.233  0.384  0.655
Tl  0.331  0.945  0.636
Tl  0.384  0.233  0.155
Tl  0.616  0.767  0.845
Tl  0.669  0.055  0.364
Tl  0.767  0.616  0.345
Tl  0.945  0.331  0.136
Hg  0.031  0.969  0.250
Hg  0.969  0.031  0.750
Bi  0.370  0.630  0.250
Bi  0.630  0.370  0.750

Properties
**Formation energy**: 4 meV/atom
**Energy relative to the lowest polymorph listed for this composition**: 0.00 eV/f.u.
**Spin magnetization**: 0.0 μB/cell

---

9.
Below is a relaxed structure of TlHgBi2, with properties calculated at the PBE level.

Lattice parameters (Å, degrees): 4.121 4.121 7.182 90.00 90.00 90.00
Fractional coordinates of all 4 atoms:
Tl  0.000  0.000  0.000
Hg  0.000  0.000  0.500
Bi  0.500  0.500  0.283
Bi  0.500  0.500  0.717

Properties
**Formation energy**: 81 meV/atom
**Spin magnetization**: 0.0 μB/cell

---

10.
Below is a relaxed structure of TlHgBi, with properties calculated at the PBE level.

Lattice parameters (Å, degrees): 7.484 7.484 7.484 90.00 90.00 90.00
Fractional coordinates of all 12 atoms:
Tl  0.000  0.000  0.000
Tl  0.000  0.500  0.500
Tl  0.500  0.000  0.500
Tl  0.500  0.500  0.000
Hg  0.000  0.000  0.500
Hg  0.000  0.500  0.000
Hg  0.500  0.000  0.000
Hg  0.500  0.500  0.500
Bi  0.250  0.250  0.250
Bi  0.250  0.750  0.750
Bi  0.750  0.250  0.750
Bi  0.750  0.750  0.250

Properties
**Formation energy**: 73 meV/atom
**Spin magnetization**: 0.0 μB/cell

---

11.
Below is a relaxed structure of Tl6HgBi2, with properties calculated at the PBE level.

Lattice parameters (Å, degrees): 3.550 3.550 26.061 90.00 90.00 120.00
Fractional coordinates of all 9 atoms:
Tl  0.000  0.000  0.068
Tl  0.000  0.000  0.287
Tl  0.000  0.000  0.713
Tl  0.000  0.000  0.932
Tl  0.333  0.667  0.401
Tl  0.333  0.667  0.599
Hg  0.000  0.000  0.500
Bi  0.333  0.667  0.177
Bi  0.333  0.667  0.823

Properties
**Formation energy**: 14 meV/atom
**Energy relative to the lowest polymorph listed for this composition**: 0.28 eV/f.u.
**Spin magnetization**: 0.0 μB/cell

---

12.
Below is a relaxed structure of TlHgBi, with properties calculated at the PBE level.

Lattice parameters (Å, degrees): 5.469 5.469 3.500 90.00 90.00 120.00
Fractional coordinates of all 3 atoms:
Tl  0.000  0.000  0.000
Hg  0.667  0.333  0.500
Bi  0.333  0.667  0.500

Properties
**Formation energy**: -9 meV/atom
**Spin magnetization**: 0.0 μB/cell

---

13.
Below is a relaxed structure of Tl8Hg4Bi, with properties calculated at the PBE level.

Lattice parameters (Å, degrees): 7.523 7.523 7.635 90.86 90.86 89.58
Fractional coordinates of all 13 atoms:
Tl  0.240  0.756  0.746
Tl  0.244  0.244  0.257
Tl  0.244  0.244  0.741
Tl  0.244  0.760  0.254
Tl  0.756  0.240  0.746
Tl  0.756  0.756  0.259
Tl  0.756  0.756  0.743
Tl  0.760  0.244  0.254
Hg  0.000  0.000  0.500
Hg  0.000  0.500  0.000
Hg  0.500  0.000  0.000
Hg  0.500  0.500  0.500
Bi  0.500  0.500  0.000

Properties
**Formation energy**: 27 meV/atom
**Spin magnetization**: 0.0 μB/cell

---

14.
Below is a relaxed structure of Tl2Hg5Bi, with properties calculated at the PBE level.

Lattice parameters (Å, degrees): 6.054 6.435 7.391 64.43 78.91 63.47
Fractional coordinates of all 8 atoms:
Tl  0.000  0.000  0.000
Tl  0.004  0.507  0.982
Hg  0.013  0.500  0.480
Hg  0.502  0.389  0.222
Hg  0.502  0.875  0.250
Hg  0.503  0.638  0.719
Hg  0.990  0.013  0.481
Bi  0.501  0.122  0.752

Properties
**Formation energy**: 20 meV/atom
**Energy relative to the lowest polymorph listed for this composition**: 0.00 eV/f.u.
**Spin magnetization**: 0.0 μB/cell

---

15.
Below is a relaxed structure of TlHg3Bi, with properties calculated at the PBE level.

Lattice parameters (Å, degrees): 5.909 5.909 5.909 90.00 90.00 90.00
Fractional coordinates of all 5 atoms:
Tl  0.000  0.000  0.000
Hg  0.000  0.500  0.500
Hg  0.500  0.000  0.500
Hg  0.500  0.500  0.000
Bi  0.500  0.500  0.500

Properties
**Formation energy**: 253 meV/atom
**Energy relative to the lowest polymorph listed for this composition**: 1.19 eV/f.u.
**Spin magnetization**: 0.0 μB/cell

---

16.
Below is a relaxed structure of TlHg6Bi2, with properties calculated at the PBE level.

Lattice parameters (Å, degrees): 7.429 7.429 9.904 90.20 90.20 90.10
Fractional coordinates of all 18 atoms:
Tl  0.017  0.983  0.750
Tl  0.983  0.017  0.250
Hg  0.192  0.513  0.275
Hg  0.200  0.747  0.008
Hg  0.203  0.270  0.983
Hg  0.253  0.800  0.492
Hg  0.270  0.203  0.483
Hg  0.487  0.808  0.225
Hg  0.513  0.192  0.775
Hg  0.730  0.797  0.517
Hg  0.747  0.200  0.508
Hg  0.797  0.730  0.017
Hg  0.800  0.253  0.992
Hg  0.808  0.487  0.725
Bi  0.217  0.486  0.704
Bi  0.486  0.217  0.204
Bi  0.514  0.783  0.796
Bi  0.783  0.514  0.296

Properties
**Formation energy**: 47 meV/atom
**Spin magnetization**: 0.0 μB/cell